CaBeOs2 | GGA-PBE | optimized geometry

```
CaBeOs2
1.0
-4.268 1.500 3.046
-2.975 -3.833 2.491
4.787 2.526 -0.671
Be Ca Os
1 1 2
Cartesian
-3.352 -1.080 2.562
-1.534 1.436 2.559
-0.228 -0.073 0.174
-0.964 -1.256 2.339
```

## Properties
Energy of formation in meV per atom: 559.7
Crystal system: orthorhombic
D(E_F) in states/eV/atom: 0.681
Calculated volume in Å³ per atom: 15.95